Below is crystalline CuTe8Pd5 at its relaxed geometry, with properties calculated at the GGA-PBE level.

Results
calculated volume: 360.6 Å³/cell
uncorrected energy: -59.11 eV for the cell shown
formation energy without anion corrections: -280 meV per atom

Cell: 7.9894 7.9894 7.9894 Å, 60.00 60.00 60.00°
With the nearest neighbours (Å) after each atom.
Sites, in units of the cell vectors:
Cu: 0.2500 0.2500 0.2500  4 Te 2.60
Te: 0.3830 0.8509 0.3830  1 Cu 2.60, 3 Pd 2.73
Te: 0.8509 0.3830 0.3830  1 Cu 2.60, 3 Pd 2.73
Te: 0.3830 0.3830 0.3830  1 Cu 2.60, 3 Pd 2.73
Te: 0.3830 0.3830 0.8509  1 Cu 2.60, 3 Pd 2.73
Te: 0.8649 0.8649 0.4054  4 Pd 2.64-2.72
Te: 0.4054 0.8649 0.8649  4 Pd 2.64-2.72
Te: 0.8649 0.8649 0.8649  4 Pd 2.64-2.72
Te: 0.8649 0.4054 0.8649  4 Pd 2.64-2.72
Pd: 0.0000 0.0000 0.0000  4 Te 2.64
Pd: 0.6248 0.6248 0.1255  6 Te 2.72-2.73
Pd: 0.6248 0.6248 0.6248  6 Te 2.72-2.73
Pd: 0.1255 0.6248 0.6248  6 Te 2.72-2.73
Pd: 0.6248 0.1255 0.6248  6 Te 2.72-2.73

***

Below is crystalline LaLuTl2 at its relaxed geometry, with properties calculated at the GGA-PBE level.

Results
calculated volume: 115.4 Å³/cell
uncorrected energy: -15.54 eV for the cell shown
ΔH_f (0 K): -0.339 eV/atom

Cell: 5.4660 5.4660 5.4660 Å, 59.99 59.99 59.99°
With the nearest neighbours (Å) after each atom.
Sites, in units of the cell vectors:
Tl: 0.0000 0.0000 0.0000  4 Lu 3.35, 4 La 3.35
Tl: 0.5000 0.5000 0.5000  4 Lu 3.35, 4 La 3.35
Lu: 0.7500 0.7500 0.7500  8 Tl 3.35
La: 0.2500 0.2500 0.2500  8 Tl 3.35

***

Below is crystalline CoW2Cl at its relaxed geometry, with properties calculated at the GGA-PBE level.

Results
calculated volume: 152.6 Å³/cell
uncorrected energy: -58.92 eV for the cell shown
offset from the most stable computed form: 0.974 eV per atom
formation energy without anion corrections: 1349 meV per atom

Cell: 5.3161 5.3161 6.5796 Å, 66.17 66.17 90.00°
With the nearest neighbours (Å) after each atom.
Sites, in units of the cell vectors:
Co: 0.0000 0.0000 0.0000  4 W 2.25
Co: 0.7500 0.2500 0.5000  4 W 2.25
W: 0.6481 0.1250 0.2500  2 Co 2.25, 2 Cl 2.39
W: 0.1019 0.6250 0.2500  2 Co 2.25, 2 Cl 2.39
W: 0.3750 0.3519 0.7500  2 Co 2.25, 2 Cl 2.39
W: 0.8750 0.8981 0.7500  2 Co 2.25, 2 Cl 2.39
Cl: 0.5000 0.5000 0.0000  4 W 2.39
Cl: 0.2500 0.7500 0.5000  4 W 2.39